GdFe3B4O12 (GGA+U, optimized geometry); E_tot = -0.2976 hartree per atom; space-group type = P3_121; M_tot = 23.98 μB per cell
1.0
7.6750 0.0000 0.0000
0.0000 9.6550 0.0000
0.0000 -4.8275 8.3614
Gd Fe B O
3 9 12 36
direct
0.3333 0.0000 0.3333 Gd
0.0000 0.3333 0.0000 Gd
0.6667 0.6667 0.6667 Gd
0.3363 0.5497 0.3342 Fe
0.9971 0.3342 0.5497 Fe
0.6637 0.2155 0.6658 Fe
0.0000 0.8838 0.0000 Fe
0.6667 0.1162 0.1162 Fe
0.6696 0.6658 0.2155 Fe
0.3304 0.4503 0.7845 Fe
0.0029 0.7845 0.4503 Fe
0.3333 0.0000 0.8838 Fe
0.5000 0.3328 0.0000 B
0.8333 0.0000 0.3328 B
0.5000 0.7802 0.0000 B
0.8296 0.5523 0.8830 B
0.4963 0.3308 0.4477 B
0.8333 0.0000 0.7802 B
0.8370 0.4477 0.3308 B
0.1667 0.2198 0.2198 B
0.1630 0.1170 0.6692 B
0.5037 0.8830 0.5523 B
0.1667 0.6672 0.6672 B
0.1704 0.6692 0.1170 B
0.1642 0.5240 0.6677 O
0.8229 0.4115 0.7372 O
0.8186 0.3076 0.1863 O
0.8358 0.8562 0.3323 O
0.5024 0.4760 0.1438 O
0.8309 0.1438 0.4760 O
0.5161 0.7871 0.1461 O
0.1667 0.0763 0.0763 O
0.4896 0.3257 0.5885 O
0.1829 0.5221 0.9795 O
0.8333 0.0000 0.1893 O
0.1691 0.6677 0.5240 O
0.4976 0.3323 0.8562 O
0.1519 0.8137 0.1213 O
0.1667 0.8107 0.8107 O
0.1814 0.1213 0.8137 O
0.5148 0.1863 0.3076 O
0.4837 0.4779 0.4574 O
0.5163 0.0205 0.5426 O
0.5000 0.9237 0.0000 O
0.1504 0.9795 0.5221 O
0.1771 0.6743 0.2628 O
0.1562 0.2628 0.6743 O
0.8173 0.1461 0.7871 O
0.8494 0.8539 0.6411 O
0.4852 0.8787 0.6924 O
0.8496 0.4574 0.4779 O
0.5000 0.1893 0.0000 O
0.8333 0.0000 0.9237 O
0.8171 0.5426 0.0205 O
0.5104 0.7372 0.4115 O
0.1827 0.3589 0.2129 O
0.1506 0.2129 0.3589 O
0.8438 0.5885 0.3257 O
0.4839 0.6411 0.8539 O
0.8481 0.6924 0.8787 O